NaMnOs2: relaxed, GGA-PBE.

```
data_NaMnOs2
_chemical_formula_sum 'Na4 Mn4 Os8'
_symmetry_space_group_name_H-M 'F m -3 m'
_symmetry_Int_Tables_number 225
_symmetry_space_group_name_Hall '-F 4 2 3'
_cell_length_a 6.031
_cell_length_b 6.031
_cell_length_c 6.031
_cell_angle_alpha 90.00
_cell_angle_beta 90.00
_cell_angle_gamma 90.00
loop_
_atom_site_label
_atom_site_fract_x
_atom_site_fract_y
_atom_site_fract_z
Na1 0.000 0.000 0.000
Mn1 0.000 0.000 0.500
Os1 0.250 0.250 0.250
```

Calculated values
For the formation energy, the calculation gives 1.00 eV per atom. The total energy comes out at -115.8 eV for the cell shown. As for the calculated density: 13.9 Mg/m³. Its total magnetization is 0.00 Bohr magnetons per cell. For the energy above the lowest structure with this stoichiometry, the calculation gives 0.000 eV per atom.


NaMnOs2: relaxed, GGA-PBE.

```
data_NaMnOs2
_chemical_formula_sum 'Na4 Mn4 Os8'
_symmetry_space_group_name_H-M 'I -4 2 d'
_symmetry_Int_Tables_number 122
_symmetry_space_group_name_Hall 'I -4 2bw'
_cell_length_a 7.158
_cell_length_b 7.158
_cell_length_c 5.063
_cell_angle_alpha 90.00
_cell_angle_beta 90.00
_cell_angle_gamma 90.00
loop_
_atom_site_label
_atom_site_fract_x
_atom_site_fract_y
_atom_site_fract_z
Na1 0.000 0.000 0.000
Mn1 0.000 0.000 0.500
Os1 0.186 0.250 0.625
```

Calculated values
For the formation energy, the calculation gives 1.06 eV per atom. The total energy comes out at -114.8 eV for the cell shown. As for the calculated density: 11.7 Mg/m³. Its total magnetization is 0.00 Bohr magnetons per cell. For the energy above the lowest structure with this stoichiometry, the calculation gives 0.056 eV per atom.


NaMnP2Os: relaxed, GGA-PBE.

```
data_NaMnP2Os
_chemical_formula_sum 'Na2 Mn2 P4 Os2'
_symmetry_space_group_name_H-M 'I -4 m 2'
_symmetry_Int_Tables_number 119
_symmetry_space_group_name_Hall 'I -4 -2'
_cell_length_a 3.940
_cell_length_b 3.940
_cell_length_c 9.935
_cell_angle_alpha 90.00
_cell_angle_beta 90.00
_cell_angle_gamma 90.00
loop_
_atom_site_label
_atom_site_fract_x
_atom_site_fract_y
_atom_site_fract_z
Na1 0.000 0.000 0.000
Mn1 0.000 0.500 0.750
P1 0.000 0.000 0.375
Os1 0.000 0.500 0.250
```

Calculated values
For the formation energy, the calculation gives -0.40 eV per atom. The total energy comes out at -69.1 eV for the cell shown. As for the calculated density: 7.1 Mg/m³. Its total magnetization is 4.24 Bohr magnetons per cell.


NaMnSbOs2: relaxed, GGA-PBE.

```
data_NaMnSbOs2
_chemical_formula_sum 'Na1 Mn1 Sb1 Os2'
_symmetry_space_group_name_H-M 'P 4/m m m'
_symmetry_Int_Tables_number 123
_symmetry_space_group_name_Hall '-P 4 2'
_cell_length_a 4.837
_cell_length_b 4.837
_cell_length_c 4.992
_cell_angle_alpha 90.00
_cell_angle_beta 90.00
_cell_angle_gamma 90.00
loop_
_atom_site_label
_atom_site_fract_x
_atom_site_fract_y
_atom_site_fract_z
Na1 0.000 0.000 0.000
Mn1 0.500 0.500 0.000
Sb1 0.000 0.000 0.500
Os1 0.000 0.500 0.500
```

Calculated values
The total energy comes out at -25.5 eV for the cell shown. As for the calculated density: 8.2 Mg/m³. The uncorrected formation energy is 2309 meV per atom. Its total magnetization is 0.54 Bohr magnetons per cell.


NaMnP2: relaxed, GGA-PBE.

```
data_NaMnP2
_chemical_formula_sum 'Na4 Mn4 P8'
_symmetry_space_group_name_H-M 'F m -3 m'
_symmetry_Int_Tables_number 225
_symmetry_space_group_name_Hall '-F 4 2 3'
_cell_length_a 6.303
_cell_length_b 6.303
_cell_length_c 6.303
_cell_angle_alpha 90.00
_cell_angle_beta 90.00
_cell_angle_gamma 90.00
loop_
_atom_site_label
_atom_site_fract_x
_atom_site_fract_y
_atom_site_fract_z
Na1 0.000 0.000 0.000
Mn1 0.000 0.000 0.500
P1 0.250 0.250 0.250
```

Calculated values
For the formation energy, the calculation gives 0.16 eV per atom. The total energy comes out at -82.7 eV for the cell shown. As for the calculated density: 3.7 Mg/m³. Its total magnetization is 11.41 Bohr magnetons per cell. For the energy above the lowest structure with this stoichiometry, the calculation gives 0.396 eV per atom.


NaMnP2: relaxed, GGA-PBE.

```
data_NaMnP2
_chemical_formula_sum 'Na4 Mn4 P8'
_symmetry_space_group_name_H-M 'I 41/a m d'
_symmetry_Int_Tables_number 141
_cell_length_a 5.191
_cell_length_b 5.191
_cell_length_c 13.130
_cell_angle_alpha 90.00
_cell_angle_beta 90.00
_cell_angle_gamma 90.00
loop_
_symmetry_equiv_pos_as_xyz
'x,y,z'
'-x,-y,-z'
'-y+1/4,x+3/4,z+1/4'
'y+1/4,-x+3/4,-z+1/4'
'-x+1/2,-y,z+1/2'
'x+1/2,y,-z+1/2'
'y+1/4,-x+1/4,z+3/4'
'-y+1/4,x+1/4,-z+3/4'
'x,-y,-z'
'-x,y,z'
'-y+1/4,-x+1/4,-z+3/4'
'y+1/4,x+1/4,z+3/4'
'-x+1/2,y,-z+1/2'
'x+1/2,-y,z+1/2'
'y+1/4,x+3/4,-z+1/4'
'-y+1/4,-x+3/4,z+1/4'
'x+1/2,y+1/2,z+1/2'
'-x+1/2,-y+1/2,-z+1/2'
'-y+3/4,x+1/4,z+3/4'
'y+3/4,-x+1/4,-z+3/4'
'-x,-y+1/2,z'
'x,y+1/2,-z'
'y+3/4,-x+3/4,z+1/4'
'-y+3/4,x+3/4,-z+1/4'
'x+1/2,-y+1/2,-z+1/2'
'-x+1/2,y+1/2,z+1/2'
'-y+3/4,-x+3/4,-z+1/4'
'y+3/4,x+3/4,z+1/4'
'-x,y+1/2,-z'
'x,-y+1/2,z'
'y+3/4,x+1/4,-z+3/4'
'-y+3/4,-x+1/4,z+3/4'
loop_
_atom_site_label
_atom_site_fract_x
_atom_site_fract_y
_atom_site_fract_z
Na1 0.000 0.250 0.375
Mn1 0.000 0.250 0.875
P1 0.000 0.000 0.000
```

Calculated values
For the formation energy, the calculation gives -0.18 eV per atom. The total energy comes out at -88.1 eV for the cell shown. As for the calculated density: 2.6 Mg/m³. Its total magnetization is 0.00 Bohr magnetons per cell. For the energy above the lowest structure with this stoichiometry, the calculation gives 0.059 eV per atom.


Na3MnP: relaxed, GGA-PBE.

```
data_Na3MnP
_chemical_formula_sum 'Na3 Mn1 P1'
_symmetry_space_group_name_H-M 'P m -3 m'
_symmetry_Int_Tables_number 221
_symmetry_space_group_name_Hall '-P 4 2 3'
_cell_length_a 5.409
_cell_length_b 5.409
_cell_length_c 5.409
_cell_angle_alpha 90.00
_cell_angle_beta 90.00
_cell_angle_gamma 90.00
loop_
_atom_site_label
_atom_site_fract_x
_atom_site_fract_y
_atom_site_fract_z
Na1 0.000 0.000 0.500
Mn1 0.000 0.000 0.000
P1 0.500 0.500 0.500
```

Calculated values
For the formation energy, the calculation gives 0.99 eV per atom. The total energy comes out at -13.6 eV for the cell shown. As for the calculated density: 1.6 Mg/m³. Its total magnetization is 5.00 Bohr magnetons per cell. For the energy above the lowest structure with this stoichiometry, the calculation gives 0.574 eV per atom.


Na3MnP: relaxed, GGA-PBE.

```
data_Na3MnP
_chemical_formula_sum 'Na3 Mn1 P1'
_symmetry_space_group_name_H-M 'P m -3 m'
_symmetry_Int_Tables_number 221
_symmetry_space_group_name_Hall '-P 4 2 3'
_cell_length_a 5.433
_cell_length_b 5.433
_cell_length_c 5.433
_cell_angle_alpha 90.00
_cell_angle_beta 90.00
_cell_angle_gamma 90.00
loop_
_atom_site_label
_atom_site_fract_x
_atom_site_fract_y
_atom_site_fract_z
Na1 0.000 0.000 0.500
Mn1 0.500 0.500 0.500
P1 0.000 0.000 0.000
```

Calculated values
For the formation energy, the calculation gives 0.41 eV per atom. The total energy comes out at -16.5 eV for the cell shown. As for the calculated density: 1.6 Mg/m³. Its total magnetization is 5.00 Bohr magnetons per cell. For the energy above the lowest structure with this stoichiometry, the calculation gives 0.000 eV per atom.


NaMnP2: relaxed, GGA-PBE.

```
data_NaMnP2
_chemical_formula_sum 'Na3 Mn3 P6'
_symmetry_space_group_name_H-M 'R -3 m'
_symmetry_Int_Tables_number 166
_symmetry_space_group_name_Hall '-R 3 2"'
_cell_length_a 3.1890
_cell_length_b 3.1890
_cell_length_c 22.6563
_cell_angle_alpha 90.00
_cell_angle_beta 90.00
_cell_angle_gamma 120.00
loop_
_atom_site_label
_atom_site_fract_x
_atom_site_fract_y
_atom_site_fract_z
Na1 0.0000 0.0000 0.0000
Mn1 0.0000 0.0000 0.5000
P1 0.0000 0.0000 0.2321
```

Calculated values
For the formation energy, the calculation gives -0.24 eV per atom. The total energy comes out at -66.8 eV for the cell shown. As for the calculated density: 3.5 Mg/m³. Its total magnetization is 6.44 Bohr magnetons per cell. For the energy above the lowest structure with this stoichiometry, the calculation gives 0.000 eV per atom.


NaMnP2Pb: relaxed, GGA-PBE.

```
data_NaMnP2Pb
_chemical_formula_sum 'Na1 Mn1 P2 Pb1'
_symmetry_space_group_name_H-M 'P 4/m m m'
_symmetry_Int_Tables_number 123
_symmetry_space_group_name_Hall '-P 4 2'
_cell_length_a 4.476
_cell_length_b 4.476
_cell_length_c 5.380
_cell_angle_alpha 90.00
_cell_angle_beta 90.00
_cell_angle_gamma 90.00
loop_
_atom_site_label
_atom_site_fract_x
_atom_site_fract_y
_atom_site_fract_z
Na1 0.000 0.000 0.000
Mn1 0.500 0.500 0.500
P1 0.000 0.500 0.500
Pb1 0.500 0.500 0.000
```

Calculated values
For the formation energy, the calculation gives 0.17 eV per atom. The total energy comes out at -24.2 eV for the cell shown. As for the calculated density: 5.3 Mg/m³. Its total magnetization is 2.00 Bohr magnetons per cell.


NaMnP2Rh: relaxed, GGA-PBE.

```
data_NaMnP2Rh
_chemical_formula_sum 'Na2 Mn2 P4 Rh2'
_symmetry_space_group_name_H-M 'I -4 m 2'
_symmetry_Int_Tables_number 119
_symmetry_space_group_name_Hall 'I -4 -2'
_cell_length_a 3.965
_cell_length_b 3.965
_cell_length_c 9.614
_cell_angle_alpha 90.00
_cell_angle_beta 90.00
_cell_angle_gamma 90.00
loop_
_atom_site_label
_atom_site_fract_x
_atom_site_fract_y
_atom_site_fract_z
Na1 0.000 0.000 0.000
Mn1 0.000 0.500 0.250
P1 0.000 0.000 0.373
Rh1 0.000 0.500 0.750
```

Calculated values
For the formation energy, the calculation gives -0.57 eV per atom. The total energy comes out at -63.0 eV for the cell shown. As for the calculated density: 5.3 Mg/m³. Its total magnetization is 1.90 Bohr magnetons per cell.


NaMnP2Ru: relaxed, GGA-PBE.

```
data_NaMnP2Ru
_chemical_formula_sum 'Na2 Mn2 P4 Ru2'
_symmetry_space_group_name_H-M 'I -4 m 2'
_symmetry_Int_Tables_number 119
_symmetry_space_group_name_Hall 'I -4 -2'
_cell_length_a 3.940
_cell_length_b 3.940
_cell_length_c 9.876
_cell_angle_alpha 90.00
_cell_angle_beta 90.00
_cell_angle_gamma 90.00
loop_
_atom_site_label
_atom_site_fract_x
_atom_site_fract_y
_atom_site_fract_z
Na1 0.000 0.000 0.000
Mn1 0.000 0.500 0.750
P1 0.000 0.000 0.375
Ru1 0.000 0.500 0.250
```

Calculated values
For the formation energy, the calculation gives -0.52 eV per atom. The total energy comes out at -66.3 eV for the cell shown. As for the calculated density: 5.2 Mg/m³. Its total magnetization is 4.25 Bohr magnetons per cell.